[1]
DFT (PBE-GGA) results for OsAuF6 after structural relaxation.

Summary:
Size of the total moment, μB/f.u.: 3.00
Raw formation energy, meV per atom: -1398

Cell and atoms, written as POSCAR:
```
OsAuF6
1.0
5.4946 -0.6563 0.2981
0.4253 4.9004 2.6577
-0.2320 0.4417 5.1034
F Au Os
6 1 1
Cartesian
3.9870 0.8055 2.4024
1.9519 0.7030 0.6040
3.9680 3.5411 2.3517
1.6597 2.2045 2.8726
4.0282 2.4813 5.1865
1.7009 3.8803 5.6568
0.0000 0.0000 0.0000
2.9599 2.1220 1.4779
```

***

[2]
DFT (PBE-GGA) results for CaMo2Rh after structural relaxation.

Summary:
Size of the total moment, μB/f.u.: 0.00
Energy above the lowest structure with this stoichiometry, eV/atom: 0.2570

Cell and atoms, written as POSCAR:
```
CaMo2Rh
1.0
2.7789 -0.0009 0.0000
-0.2393 2.7686 0.0000
0.0000 0.0000 9.2556
Mo Rh Ca
2 1 1
Cartesian
0.0000 0.0000 4.2689
0.0000 0.0000 0.3589
1.2698 1.3838 2.3139
1.2698 1.3838 6.9417
```

***

[3]
DFT (PBE-GGA) results for TlBi2Au3 after structural relaxation.

Summary:
Size of the total moment, μB/f.u.: 0.00
VASP energy, Ha/atom: -0.12260

Cell and atoms, written as POSCAR:
```
TlBi2Au3
1.0
6.9287 0.0152 0.0000
-2.7391 6.3644 0.0000
0.0000 0.0000 7.2547
Bi Au Tl
4 6 2
Cartesian
4.8825 1.3590 3.6274
-0.6928 5.0206 3.6274
-0.6928 5.0206 0.0000
4.8825 1.3590 0.0000
1.5991 5.2613 1.8137
2.5906 1.1183 5.4410
0.0105 0.0160 5.4410
4.1792 6.3636 1.8137
4.1928 3.5579 1.8137
-0.0031 2.8216 5.4410
1.5231 2.3191 1.8137
2.6666 4.0604 5.4410
```

***

[4]
DFT (PBE-GGA) results for Pr3Sc2PaP6 after structural relaxation.

Summary:
Size of the total moment, μB/f.u.: 0.00
VASP energy, Ha/atom: -0.26488

Cell and atoms, written as POSCAR:
```
Pr3Sc2PaP6
1.0
-0.7655 0.0310 6.8938
4.7726 -4.0833 -2.9429
3.1177 6.2136 -0.8436
Pr Sc P Pa
3 2 6 1
Cartesian
1.7160 2.4524 4.8333
3.5624 1.0807 1.5536
5.4089 -0.2911 -1.7260
2.9266 -2.7119 0.3358
1.0805 -1.3403 3.6150
2.6076 -0.2757 -0.8829
0.7462 1.1072 2.4233
4.5172 2.4371 3.9901
3.4678 3.7643 0.3779
3.6570 -1.6029 2.7293
6.3786 1.0542 0.6839
0.0000 0.0000 0.0000
```

***

[5]
DFT (PBE-GGA) results for LiCePuGa after structural relaxation.

Summary:
Size of the total moment, μB/f.u.: 7.01
VASP energy, Ha/atom: -0.23315

Cell and atoms, written as POSCAR:
```
LiCePuGa
1.0
5.1136 0.0000 0.0000
2.5568 4.4285 0.0000
2.5568 1.4762 4.1752
Ga Pu Ce Li
1 1 1 1
Cartesian
7.6704 4.4285 3.1314
0.0000 0.0000 0.0000
5.1136 2.9523 2.0876
2.5568 1.4762 1.0438
```

***

[6]
DFT (PBE-GGA) results for Re3HgRu after structural relaxation.

Summary:
Size of the total moment, μB/f.u.: 1.38
VASP energy, Ha/atom: -0.26512

Cell and atoms, written as POSCAR:
```
Re3HgRu
1.0
4.6894 0.0000 0.0000
0.0000 4.6894 0.0000
0.0000 0.0000 4.6894
Ru Re Hg
1 3 1
Cartesian
0.0000 0.0000 0.0000
0.0000 2.3447 0.0000
2.3447 0.0000 0.0000
0.0000 0.0000 2.3447
2.3447 2.3447 2.3447
```

***

[7]
DFT (PBE-GGA) results for P2RuClF after structural relaxation.

Summary:
Size of the total moment, μB/f.u.: 0.00
Energy above the lowest structure with this stoichiometry, eV/atom: 0.0000
Raw formation energy, meV per atom: 180

Cell and atoms, written as POSCAR:
```
P2RuClF
1.0
-2.9419 -2.7985 1.9216
3.3481 -2.8121 1.0304
0.6106 2.2932 4.2746
F Ru P Cl
1 1 2 1
Cartesian
0.5084 -1.6587 3.6133
0.0000 0.0000 0.0000
-1.4710 -1.3993 0.9608
1.6740 -1.4061 0.5152
0.3053 1.1466 2.1373
```

***

[8]
DFT (PBE-GGA) results for TiMnPbS4 after structural relaxation.

Summary:
Size of the total moment, μB/f.u.: 4.91
Raw formation energy, meV per atom: -756

Cell and atoms, written as POSCAR:
```
TiMnPbS4
1.0
-1.2715 -8.4684 0.1468
6.3446 3.4165 2.2011
-6.1529 0.9915 3.9066
S Pb Mn Ti
8 2 2 2
Cartesian
0.4298 -4.3557 2.2960
0.8409 -1.6803 5.2132
1.1106 -0.1270 2.2950
-1.9207 -2.3801 1.0413
1.3237 1.5350 5.1575
-2.4034 -5.5954 1.0970
-1.5095 0.2953 3.9585
-2.1903 -3.9334 3.9595
-4.1454 0.6863 3.6836
3.0657 -4.7467 2.5710
-0.5399 -2.0302 3.1273
0.0959 2.2040 3.0539
-3.7122 -3.7384 2.0267
-0.6357 -4.2342 0.0734
```

***

[9]
DFT (PBE-GGA) results for Rb3Th2NpN6 after structural relaxation.

Summary:
Size of the total moment, μB/f.u.: 0.00
Raw formation energy, meV per atom: -878

Cell and atoms, written as POSCAR:
```
Rb3Th2NpN6
1.0
6.3286 0.0000 0.0014
-3.1627 5.4816 0.0014
-1.0546 -1.8260 6.7732
Rb N Np Th
3 6 1 2
Cartesian
4.2449 -0.0141 3.3880
1.0556 1.8278 3.3880
-2.1337 3.6698 3.3880
1.8973 0.0007 1.0508
0.2140 3.6549 5.7251
3.0588 2.0119 5.7251
-0.1026 -0.1777 5.7200
2.2139 3.8333 1.0559
-0.9475 1.6437 1.0508
0.0000 0.0000 0.0000
3.1648 1.8272 0.0014
0.0011 3.6544 0.0014
```

***

[10]
DFT (PBE-GGA) results for PuIn2Ag after structural relaxation.

Summary:
Size of the total moment, μB/f.u.: 5.78
Energy above the lowest structure with this stoichiometry, eV/atom: 0.0000

Cell and atoms, written as POSCAR:
```
PuIn2Ag
1.0
3.3011 0.0000 0.0000
0.0000 3.3011 0.0000
0.0000 0.0000 8.4808
In Ag Pu
2 1 1
Cartesian
0.0000 0.0000 1.8798
0.0000 0.0000 6.6010
1.6506 1.6506 0.0000
1.6506 1.6506 4.2404
```

***

[11]
DFT (PBE-GGA) results for Ga2GeC after structural relaxation.

Summary:
Size of the total moment, μB/f.u.: 0.00
Energy above the lowest structure with this stoichiometry, eV/atom: 0.0000

Cell and atoms, written as POSCAR:
```
Ga2GeC
1.0
-3.0542 -0.7757 4.5021
4.4615 -1.6715 2.7387
1.5353 3.1575 4.9394
Ge Ga C
2 4 2
Cartesian
0.0000 0.0000 0.0000
-0.4076 0.5791 6.5310
1.9789 0.3782 9.7923
2.5140 -0.4225 3.9169
-0.6909 0.1659 3.9834
2.0831 1.2992 6.6678
0.7036 -1.2236 3.6204
3.3502 0.1312 5.6492
```

***

[12]
DFT (PBE-GGA) results for NbNiB after structural relaxation.

Summary:
Size of the total moment, μB/f.u.: 0.00
VASP energy, Ha/atom: -0.29299

Cell and atoms, written as POSCAR:
```
NbNiB
1.0
4.4288 0.0000 0.0032
0.0000 3.2114 0.0000
-2.5302 0.0000 9.6448
B Nb Ni
4 4 4
Cartesian
2.0839 0.0000 7.0517
-0.1854 0.0000 2.5963
3.3490 1.6057 2.2293
-1.4505 1.6057 7.4187
-0.1719 0.0000 6.0950
0.8053 1.6057 8.3754
2.0704 0.0000 3.5530
1.0932 1.6057 1.2726
-0.0457 1.6057 4.0029
1.9442 1.6057 5.6451
-1.3108 0.0000 8.8253
3.2094 0.0000 0.8227
```